No. 1
This record from OQMD via LeMat-Bulk describes a relaxed HfAl3 crystal. The functional is PBE.

As for the space group: No. 194. For the total magnetic moment, the calculation gives 0.0 μB/cell.

Cell lengths 5.7944, 5.7944, 4.7227 Å; angles 90.00, 90.00, 120.00 degrees
Closest atoms and distances in Å follow each position.
Fractional coordinates of all 8 atoms:
Hf1 0.3333 0.6667 0.2500  12 Al 2.90-2.94
Hf2 0.6667 0.3333 0.7500  12 Al 2.90-2.94
Al1 0.1595 0.3191 0.7500  8 Al 2.77-3.02, 4 Hf 2.90-2.94
Al2 0.1595 0.8405 0.7500  8 Al 2.77-3.02, 4 Hf 2.90-2.94
Al3 0.3191 0.1595 0.2500  8 Al 2.77-3.02, 4 Hf 2.90-2.94
Al4 0.6809 0.8405 0.7500  8 Al 2.77-3.02, 4 Hf 2.90-2.94
Al5 0.8405 0.1595 0.2500  8 Al 2.77-3.02, 4 Hf 2.90-2.94
Al6 0.8405 0.6809 0.2500  8 Al 2.77-3.02, 4 Hf 2.90-2.94

No. 2
This record from OQMD via LeMat-Bulk describes a relaxed Pt crystal. The functional is PBE.

The energy relative to the lowest polymorph listed for this composition comes out at 133 meV per atom. As for the space group: No. 64. As for the formation energy: 13 kJ/mol of atoms. For the total magnetic moment, the calculation gives 0.0 μB/cell.

Cell lengths 5.4473, 5.4473, 2.7991 Å; angles 90.00, 90.00, 130.90 degrees
Closest atoms and distances in Å follow each position.
Fractional coordinates of all 4 atoms:
Pt1 0.1307 0.8693 0.9985  9 Pt 2.59-2.80
Pt2 0.3693 0.6307 0.4985  9 Pt 2.59-2.80
Pt3 0.6307 0.3693 0.5015  9 Pt 2.59-2.80
Pt4 0.8693 0.1307 0.0015  9 Pt 2.59-2.80

No. 3
This record from OQMD via LeMat-Bulk describes a relaxed Na2Mg2ZnCdAu2 crystal. The functional is PBE.

As for the space group: No. 115.

Cell lengths 4.7453, 4.7453, 6.7778 Å; angles 90.00, 90.00, 90.00 degrees
Closest atoms and distances in Å follow each position.
Fractional coordinates of all 8 atoms:
Na1 0.0000 0.5000 0.2401  4 Mg 2.88-2.96, 2 Zn 2.88, 2 Cd 2.96
Na2 0.5000 0.0000 0.7599  4 Mg 2.88-2.96, 2 Zn 2.88, 2 Cd 2.96
Mg1 0.0000 0.0000 0.0000  4 Au 2.86, 4 Na 2.88
Mg2 0.5000 0.5000 0.5000  4 Na 2.96, 4 Au 2.97
Zn1 0.5000 0.5000 0.0000  4 Au 2.86, 4 Na 2.88
Cd1 0.0000 0.0000 0.5000  4 Na 2.96, 4 Au 2.97
Au1 0.0000 0.5000 0.7643  4 Mg 2.86-2.97, 2 Zn 2.86, 2 Cd 2.97
Au2 0.5000 0.0000 0.2357  4 Mg 2.86-2.97, 2 Zn 2.86, 2 Cd 2.97

| no. | calculated total energy (eV/cell) |
| --- | --- |
| 1 | -44.87 |
| 2 | -23.69 |
| 3 | -16.40 |